The following is a DFT calculation (PBE) of a relaxed structure of Tl2CdAgHg.

Output
- Space group: P4/mmm, No. 123
- E_tot: -1.572 eV per atom
- Energy of formation: 0.188 eV per atom
- Total moment: 0.000 μB per cell

The structure in POSCAR format:
```
Tl2CdAgHg
1.0
-3.448 0.590 4.334
-0.700 -5.522 0.195
4.162 -0.409 3.367
Tl Hg Cd Ag
2 1 1 1
Direct
0.000 0.500 0.000
0.500 0.000 0.000
0.500 0.500 0.500
0.000 0.000 0.500
0.000 0.000 0.000
```